(1)
Si4WAu | PBE | relaxed

Cell lengths 7.0320, 7.0320, 7.0320 Å; angles 90.00, 90.00, 90.00 degrees
Closest atoms and distances in Å follow each position.
Space group F-43m (No. 216)
One atom of each set of equivalent atoms:
Si 0.1242 0.1242 0.1242 x16  6 Si 2.47-2.50
W 0.2500 0.2500 0.7500 x4  12 Si 2.91, 4 Au 3.04
Au 0.0000 0.0000 0.5000 x4  12 Si 2.92, 4 W 3.04

Output
ΔE_f (raw): 0.57 eV per atom

=====

(2)
AsPd2Cl8 | PBE | relaxed

Cell lengths 12.9769, 8.5524, 6.2386 Å; angles 90.00, 101.25, 90.00 degrees
Closest atoms and distances in Å follow each position.
Space group C2/m (No. 12)
One atom of each set of equivalent atoms:
As 0.0000 0.0000 0.0000 x2  6 Cl 2.43-2.45
Pd 0.2049 0.0000 0.6872 x4  4 Cl 2.25-2.46
Cl 0.0880 0.1932 0.8069 x8  1 As 2.45, 1 Pd 2.46
Cl 0.1272 0.5000 0.3583 x4  1 Pd 2.25
Cl 0.1527 0.0000 0.2960 x4  1 Pd 2.40, 1 As 2.43

Output
ΔE_f (raw): -0.24 eV per atom

=====

(3)
Na2LiIn6 | PBE | relaxed

Cell lengths 11.0061, 7.0613, 6.1637 Å; angles 90.00, 95.47, 90.00 degrees
Closest atoms and distances in Å follow each position.
Space group C2/m (No. 12)
One atom of each set of equivalent atoms:
Na 0.1894 0.0000 0.3321 x4  10 In 3.34-3.68, 1 Li 3.48
Li 0.0000 0.5000 0.5000 x2  6 In 2.78-2.86
In 0.0788 0.2155 0.7922 x8  1 Li 2.78, 1 In 3.04
In 0.1622 0.5000 0.1638 x4  1 Li 2.86, 2 In 3.12

Output
Excess energy over the best structure of this formula in the dataset: 0.0377 eV/atom
DFT formation energy: -0.0718 eV per atom

=====

(4)
CdPd4F12 | PBE | relaxed

Cell lengths 7.7023, 8.2748, 8.2786 Å; angles 90.00, 90.00, 90.00 degrees
Closest atoms and distances in Å follow each position.
Space group Immm (No. 71)
One atom of each set of equivalent atoms:
Cd 0.0000 0.0000 0.0000 x2  8 F 2.40
Pd 0.2500 0.2500 0.2500 x8  6 F 2.04-2.14
F 0.0000 0.3080 0.3062 x8  2 Pd 2.04
F 0.1832 0.0000 0.2341 x8  2 Pd 2.14
F 0.1839 0.2339 0.0000 x8  2 Pd 2.14

Output
ΔE_f (raw): -1.37 eV per atom

=====

(5)
CsTlBr2 | PBE | relaxed

Cell lengths 5.9844, 6.0200, 4.5266 Å; angles 90.00, 90.00, 90.00 degrees
Closest atoms and distances in Å follow each position.
Space group Pmm2 (No. 25)
One atom of each set of equivalent atoms:
Cs 0.0000 0.0000 0.0000 x1  8 Br 3.70-3.83
Tl 0.5000 0.5000 0.7513 x1  4 Br 3.24-3.25
Br 0.0000 0.5000 0.4769 x1  2 Tl 3.24
Br 0.5000 0.0000 0.4832 x1  2 Tl 3.25

Output
ΔE_f (raw): -1.29 eV per atom

=====

(6)
La2PPb | PBE | relaxed

Cell lengths 8.2270, 8.2270, 7.4797 Å; angles 90.00, 90.00, 90.00 degrees
Closest atoms and distances in Å follow each position.
Space group I-42d (No. 122)
One atom of each set of equivalent atoms:
La 0.2124 0.7500 0.1250 x8  2 P 2.86
P 0.0000 0.0000 0.0000 x4  4 La 2.86
Pb 0.0000 0.0000 0.5000 x4  4 La 3.27

Output
Excess energy over the best structure of this formula in the dataset: 0.2846 eV/atom
DFT formation energy: -0.7722 eV per atom

=====

(7)
CaCo2Os | PBE | relaxed

Cell lengths 3.1228, 4.2478, 4.5797 Å; angles 90.00, 90.00, 90.00 degrees
Closest atoms and distances in Å follow each position.
Space group Pmmm (No. 47)
One atom of each set of equivalent atoms:
Ca 0.0000 0.0000 0.0000 x1  4 Co 2.64, 4 Os 2.77
Co 0.0000 0.5000 0.5000 x1  4 Os 2.64, 4 Co 2.77
Co 0.5000 0.5000 0.0000 x1  4 Ca 2.64, 4 Co 2.77
Os 0.5000 0.0000 0.5000 x1  4 Co 2.64, 4 Ca 2.77

Output
Excess energy over the best structure of this formula in the dataset: 0.3615 eV/atom
DFT formation energy: 0.7183 eV per atom

=====

(8)
Na8Cd2Sn | PBE | relaxed

Cell lengths 5.4561, 7.9004, 9.2359 Å; angles 64.75, 72.94, 89.99 degrees
Closest atoms and distances in Å follow each position.
Space group P1 (No. 1)
One atom of each set of equivalent atoms:
Na 0.0000 0.0000 0.0000 x1  3 Cd 3.19-3.30, 3 Na 3.32-3.36
Na 0.0346 0.5301 0.9298 x1  1 Sn 3.21, 3 Cd 3.39-3.48, 2 Na 3.58
Na 0.1939 0.3541 0.6113 x1  1 Sn 3.26, 2 Na 3.32
Na 0.3537 0.8496 0.2933 x1  1 Sn 3.21, 3 Cd 3.40-3.48, 2 Na 3.58
Na 0.3893 0.3870 0.2228 x1  3 Cd 3.19-3.31, 3 Na 3.32-3.36
Na 0.5854 0.9055 0.8305 x1  4 Na 3.21-3.43, 1 Cd 3.26, 2 Sn 3.28
Na 0.6941 0.6725 0.6111 x1  2 Na 3.21-3.22, 2 Cd 3.22, 2 Sn 3.46
Na 0.8025 0.1253 0.3961 x1  4 Na 3.22-3.43, 1 Cd 3.26, 2 Sn 3.27-3.28
Cd 0.5353 0.2585 0.9275 x1  8 Na 3.19-3.48
Cd 0.8551 0.5766 0.2933 x1  8 Na 3.19-3.48
Sn 0.1942 0.9415 0.6123 x1  9 Na 3.21-3.46

Output
Excess energy over the best structure of this formula in the dataset: 0.0090 eV/atom
DFT formation energy: -0.0614 eV per atom

=====

(9)
CuTc2W | PBE | relaxed

Cell lengths 3.1402, 4.3381, 8.6017 Å; angles 90.00, 90.00, 90.00 degrees
Closest atoms and distances in Å follow each position.
Space group Immm (No. 71)
One atom of each set of equivalent atoms:
Cu 0.0000 0.0000 0.0000 x2  4 W 2.68, 8 Tc 2.74-2.99
Tc 0.0000 0.5000 0.2396 x4  2 W 2.59, 4 Tc 2.68, 2 Cu 2.74
W 0.0000 0.0000 0.5000 x2  4 Tc 2.59, 4 Cu 2.68

Output
Excess energy over the best structure of this formula in the dataset: 0.1147 eV/atom
DFT formation energy: 0.2722 eV per atom

=====

(10)
Re3BPt | PBE | relaxed

Cell lengths 4.7608, 4.7608, 4.7608 Å; angles 90.00, 90.00, 90.00 degrees
Closest atoms and distances in Å follow each position.
Space group Pm-3m (No. 221)
One atom of each set of equivalent atoms:
Re 0.0000 0.0000 0.5000 x3  2 Pt 2.38
B 0.5000 0.5000 0.5000 x1  12 Re 3.37
Pt 0.0000 0.0000 0.0000 x1  6 Re 2.38

Output
Excess energy over the best structure of this formula in the dataset: 3.1420 eV/atom
DFT formation energy: 3.3471 eV per atom

=====

(11)
HoTa2AlC4 | PBE | relaxed

Cell lengths 3.2565, 10.9281, 11.1272 Å; angles 90.00, 90.00, 90.00 degrees
Closest atoms and distances in Å follow each position.
Space group Cmcm (No. 63)
One atom of each set of equivalent atoms:
Ho 0.0000 0.1129 0.2500 x4  6 C 2.45-2.61
Ta 0.0000 0.3686 0.0432 x8  5 C 2.08-2.31
Al 0.0000 0.1514 0.7500 x4  4 C 1.94-1.96
C 0.0000 0.0000 0.0000 x4  4 Ta 2.22
C 0.0000 0.2632 0.6123 x8  1 Al 1.96, 1 Ta 2.08
C 0.0000 0.4454 0.2500 x4  2 Al 1.94

Output
DFT formation energy: -0.2711 eV per atom

=====

(12)
AcHfSbO6 | PBE | relaxed

Cell lengths 5.4593, 5.4593, 10.7153 Å; angles 90.00, 90.00, 120.00 degrees
Closest atoms and distances in Å follow each position.
Space group P-31c (No. 163)
One atom of each set of equivalent atoms:
Ac 0.0000 0.0000 0.0000 x2  6 O 2.56
Hf 0.3333 0.6667 0.2500 x2  6 O 2.10
Sb 0.3333 0.6667 0.7500 x2  6 O 2.02
O 0.0109 0.3792 0.6446 x12  1 Sb 2.02, 1 Hf 2.10

Output
ΔE_f (raw): -2.77 eV per atom

=====

(13)
Ac2NdAg6 | PBE | relaxed

Cell lengths 3.8366, 8.2142, 15.3704 Å; angles 90.00, 90.00, 90.00 degrees
Closest atoms and distances in Å follow each position.
Space group Immm (No. 71)
One atom of each set of equivalent atoms:
Ac 0.0000 0.0000 0.1438 x4  10 Ag 3.23-3.33
Nd 0.0000 0.5000 0.0000 x2  12 Ag 3.23-3.50
Ag 0.0000 0.1721 0.3329 x8  2 Ag 2.83
Ag 0.0000 0.3160 0.5000 x4  3 Ag 2.83-3.02

Output
Excess energy over the best structure of this formula in the dataset: 0.1151 eV/atom
DFT formation energy: -0.1592 eV per atom

=====

(14)
NaCaAg2 | PBE | relaxed

Cell lengths 5.1533, 5.1533, 3.6973 Å; angles 90.00, 90.00, 90.00 degrees
Closest atoms and distances in Å follow each position.
Space group P4/mmm (No. 123)
One atom of each set of equivalent atoms:
Na 0.0000 0.0000 0.0000 x1  8 Ag 3.17
Ca 0.5000 0.5000 0.0000 x1  8 Ag 3.17
Ag 0.0000 0.5000 0.5000 x2  4 Na 3.17, 4 Ca 3.17

Output
DFT formation energy: -0.1395 eV per atom

=====

(15)
Mo2Pt4RhW | PBE | relaxed

Cell lengths 6.8488, 6.8488, 5.4108 Å; angles 90.00, 90.00, 90.00 degrees
Closest atoms and distances in Å follow each position.
Space group I-42m (No. 121)
One atom of each set of equivalent atoms:
Mo 0.0000 0.5000 0.0000 x4  2 Mo 2.71, 8 Pt 2.74-2.81
Pt 0.2400 0.2400 0.2359 x8  2 W 2.65-2.90, 2 Pt 2.71, 2 Rh 2.73-2.82, 4 Mo 2.74-2.81
Rh 0.0000 0.0000 0.5000 x2  2 W 2.71, 8 Pt 2.73-2.82
W 0.0000 0.0000 0.0000 x2  8 Pt 2.65-2.90, 2 Rh 2.71

Output
DFT formation energy: -0.0050 eV per atom

=====

(16)
ZnSbRhO6 | PBE | relaxed

Cell lengths 5.2130, 5.2130, 8.9554 Å; angles 90.00, 90.00, 120.00 degrees
Closest atoms and distances in Å follow each position.
Space group P-31c (No. 163)
One atom of each set of equivalent atoms:
Zn 0.0000 0.0000 0.0000 x2  6 O 2.17
Sb 0.3333 0.6667 0.2500 x2  6 O 2.02
Rh 0.3333 0.6667 0.7500 x2  6 O 1.99
O 0.0044 0.3526 0.6305 x12  1 Rh 1.99, 1 Sb 2.02, 1 Zn 2.17

Output
ΔE_f (raw): -1.00 eV per atom

=====

(17)
Pr2GaGe4Au3 | PBE | relaxed

Cell lengths 4.5168, 4.5168, 10.4531 Å; angles 90.00, 90.00, 90.00 degrees
Closest atoms and distances in Å follow each position.
Space group P-4m2 (No. 115)
One atom of each set of equivalent atoms:
Pr 0.0000 0.5000 0.2485 x2  6 Au 3.42-3.47, 8 Ge 3.44, 2 Ga 3.47
Ga 0.0000 0.0000 0.5000 x1  4 Ge 2.64
Ge 0.0000 0.0000 0.0000 x1  4 Au 2.64
Ge 0.0000 0.5000 0.6303 x2  3 Au 2.50-2.64, 2 Ga 2.64
Ge 0.5000 0.5000 0.0000 x1  4 Au 2.64
Au 0.0000 0.5000 0.8693 x2  5 Ge 2.50-2.64
Au 0.5000 0.5000 0.5000 x1  4 Ge 2.64

Output
DFT formation energy: -0.5105 eV per atom

=====

(18)
Rb2LiMgSb2 | PBE | relaxed

Cell lengths 7.0393, 16.7736, 7.0536 Å; angles 90.00, 90.00, 90.00 degrees
Closest atoms and distances in Å follow each position.
Space group Ibam (No. 72)
One atom of each set of equivalent atoms:
Rb 0.2420 0.1713 0.0000 x8  5 Sb 3.72-3.97, 2 Li 3.78, 2 Mg 3.83
Li 0.0000 0.0000 0.2500 x4  4 Sb 2.94
Mg 0.0000 0.5000 0.2500 x4  4 Sb 2.92
Sb 0.2481 0.4082 0.0000 x8  2 Mg 2.92, 2 Li 2.94

Output
ΔE_f (raw): -0.48 eV per atom

=====

(19)
NaTm2CuS4 | PBE | relaxed

Cell lengths 3.8596, 12.9062, 13.5524 Å; angles 90.00, 90.00, 90.00 degrees
Closest atoms and distances in Å follow each position.
Space group Cmcm (No. 63)
One atom of each set of equivalent atoms:
Na 0.0000 0.1134 0.2500 x4  6 S 2.92-3.07
Tm 0.0000 0.3657 0.0658 x8  6 S 2.68-2.74
Cu 0.0000 0.1583 0.7500 x4  4 S 2.33-2.34
S 0.0000 0.0000 0.0000 x4  4 Tm 2.74
S 0.0000 0.2689 0.6140 x8  1 Cu 2.33
S 0.0000 0.4441 0.2500 x4  2 Cu 2.34

Output
ΔE_f (raw): -1.62 eV per atom

=====

(20)
Sm2BePdPt6 | PBE | relaxed

Cell lengths 9.5515, 5.5077, 8.0618 Å; angles 90.00, 113.33, 90.00 degrees
Closest atoms and distances in Å follow each position.
Space group C2/m (No. 12)
One atom of each set of equivalent atoms:
Sm 0.2063 0.0000 0.1182 x4  6 Pt 3.04, 3 Pd 3.30
Be 0.0000 0.0000 0.5000 x2  6 Pt 2.23
Pd 0.0000 0.5000 0.0000 x2  6 Pt 2.67
Pt 0.0147 0.2516 0.2908 x8  1 Be 2.23
Pt 0.2376 0.0000 0.7093 x4  1 Be 2.23

Output
DFT formation energy: -0.6894 eV per atom

=====

(21)
Cs2Cu2SnBr7 | PBE | relaxed

Cell lengths 5.2737, 5.2737, 27.2598 Å; angles 90.00, 90.00, 90.00 degrees
Closest atoms and distances in Å follow each position.
Space group I4/mmm (No. 139)
One atom of each set of equivalent atoms:
Cs 0.0000 0.0000 0.1777 x4  9 Br 3.73-3.76
Cu 0.0000 0.0000 0.4071 x4  6 Br 2.53-2.66
Sn 0.0000 0.0000 0.0000 x2  12 Br 3.41-3.73
Br 0.0000 0.0000 0.3144 x4  1 Cu 2.53
Br 0.0000 0.0000 0.5000 x2  2 Cu 2.53
Br 0.0000 0.5000 0.0794 x8  2 Cu 2.66

Output
ΔE_f (raw): -0.83 eV per atom

=====

(22)
ScAlAgPb | PBE | relaxed

Cell lengths 11.1144, 3.3684, 4.9516 Å; angles 90.00, 110.75, 90.00 degrees
Closest atoms and distances in Å follow each position.
Space group Cm (No. 8)
One atom of each set of equivalent atoms:
Sc 0.0000 0.0000 0.0000 x2  4 Pb 2.99-3.01, 3 Al 3.00-3.20, 2 Ag 3.16
Al 0.2375 0.5000 0.1281 x2  4 Ag 2.87-3.13, 3 Sc 3.00-3.20, 2 Pb 3.20
Ag 0.2506 0.0000 0.6702 x2  4 Al 2.87-3.13, 3 Pb 3.08-3.21, 2 Sc 3.16
Pb 0.4881 0.0000 0.4879 x2  4 Sc 2.99-3.01, 3 Ag 3.08-3.21, 2 Al 3.20

Output
Excess energy over the best structure of this formula in the dataset: 0.1143 eV/atom
DFT formation energy: -0.0886 eV per atom